## Sm4GaHgSe2 (PBE)

Data for Sm4GaHgSe2 after structural relaxation.

The calculation puts the total energy at -38.4 eV for the cell shown. For the density of states at the Fermi level, the calculation gives 3.820 states/eV per cell. The total moment is 0.00 μB/atom.

Cell lengths 7.116, 4.089, 7.863 Å; angles 90.00, 107.33, 90.00 degrees
Space group P2/m (No. 10)
Unique sites:
Sm  0.239  0.000  0.234
Sm  0.247  0.500  0.760
Ga  0.000  0.000  0.500
Hg  0.500  0.500  0.500
Se  0.000  0.500  0.000
Se  0.500  0.000  0.000


## Ga2SnHgSe6 (PBE)

Data for Ga2SnHgSe6 after structural relaxation.

The calculation puts the total energy at -138.1 eV for the cell shown. The total moment is 0.00 μB/atom.

Cell lengths 13.708, 13.093, 7.174 Å; angles 90.00, 113.49, 90.00 degrees
Space group C2/c (No. 15)
Unique sites:
Ga  0.192  0.068  0.215
Sn  0.000  0.320  0.750
Hg  0.000  0.288  0.250
Se  0.111  0.422  0.596
Se  0.130  0.072  0.487
Se  0.143  0.252  0.096


## Ga2HgTeSe6 (PBE)

Data for Ga2HgTeSe6 after structural relaxation.

The calculation puts the total energy at -131.7 eV for the cell shown. The total moment is 0.00 μB/atom.

Cell lengths 13.510, 11.644, 7.553 Å; angles 90.00, 107.78, 90.00 degrees
Space group C2/c (No. 15)
Unique sites:
Ga  0.207  0.081  0.205
Hg  0.000  0.284  0.250
Te  0.000  0.261  0.750
Se  0.106  0.408  0.625
Se  0.130  0.051  0.455
Se  0.150  0.283  0.109


## Tl2GaHgSe4 (PBE)

Data for Tl2GaHgSe4 after structural relaxation.

The calculation puts the total energy at -24.7 eV for the cell shown. For the density of states at the Fermi level, the calculation gives 3.190 states/eV per cell. The total moment is 0.00 μB/atom.

Cell lengths 6.534, 6.538, 6.973 Å; angles 113.57, 114.65, 97.35 degrees
Space group P1 (No. 1)
Unique sites:
Tl  0.000  0.000  0.000
Tl  0.302  0.803  0.500
Ga  0.485  0.486  0.999
Hg  0.767  0.268  0.499
Se  0.103  0.506  0.969
Se  0.409  0.398  0.595
Se  0.537  0.135  0.030
Se  0.802  0.814  0.404


## GaSi2Hg2 (PBE)

Data for GaSi2Hg2 after structural relaxation.

As for the excess energy over the best structure of this formula in the dataset: 32 meV/atom. The calculation puts the total energy at -26.1 eV for the cell shown. For the density of states at the Fermi level, the calculation gives 4.684 states/eV per cell. The total moment is 0.00 μB/atom.

Cell lengths 3.466, 3.466, 17.617 Å; angles 90.00, 90.00, 90.00 degrees
Space group I4/mmm (No. 139)
Unique sites:
Ga  0.000  0.000  0.000
Si  0.000  0.500  0.250
Hg  0.000  0.000  0.396


## Ga12Si5Hg3 (PBE)

Data for Ga12Si5Hg3 after structural relaxation.

The calculation puts the total energy at -484.0 eV for the cell shown. For the density of states at the Fermi level, the calculation gives 73.784 states/eV per cell. The total moment is 0.00 μB/atom.

Cell lengths 15.197, 15.197, 15.197 Å; angles 90.00, 90.00, 90.00 degrees
Space group Ia-3d (No. 230)
Unique sites:
Ga  0.029  0.076  0.645
Si  0.000  0.000  0.000
Si  0.000  0.250  0.375
Hg  0.000  0.250  0.125